1.
## CaTeW2I (GGA-PBEsol)

Data for an optimized crystal structure of CaTeW2I.

Results
VASP energy: -0.3816 Ry/atom
energy relative to the elements, uncorrected: 1.82 eV per atom

Cell and atoms, written as CIF:
```
data_CaTeW2I
_cell_length_a 4.883
_cell_length_b 4.883
_cell_length_c 5.590
_cell_angle_alpha 90.00
_cell_angle_beta 90.00
_cell_angle_gamma 90.00
_space_group_name_H-M_alt 'P 4/m m m'
_space_group_IT_number 123
_space_group_name_Hall '-P 4 2'
loop_
_atom_site_label
_atom_site_fract_x
_atom_site_fract_y
_atom_site_fract_z
Ca1 0.000 0.000 0.000
Te1 0.500 0.500 0.000
W1 0.000 0.500 0.500
I1 0.000 0.000 0.500
```



2.
## RbSnSN2 (GGA-PBEsol)

Data for an optimized crystal structure of RbSnSN2.

Results
VASP energy: -0.2243 Ry/atom
energy relative to the elements, uncorrected: 2.29 eV per atom

Cell and atoms, written as CIF:
```
data_RbSnSN2
_cell_length_a 4.764
_cell_length_b 4.764
_cell_length_c 10.360
_cell_angle_alpha 90.00
_cell_angle_beta 90.00
_cell_angle_gamma 90.00
_space_group_name_H-M_alt 'P 4/m m m'
_space_group_IT_number 123
_space_group_name_Hall '-P 4 2'
loop_
_atom_site_label
_atom_site_fract_x
_atom_site_fract_y
_atom_site_fract_z
Rb1 0.000 0.000 0.000
Sn1 0.000 0.000 0.500
S1 0.500 0.500 0.500
N1 0.000 0.500 0.000
```



3.
## Ca2HOF (GGA-PBEsol)

Data for an optimized crystal structure of Ca2HOF.

Results
VASP energy: -0.3150 Ry/atom

Cell and atoms, written as CIF:
```
data_Ca2HOF
_cell_length_a 4.440
_cell_length_b 4.440
_cell_length_c 4.380
_cell_angle_alpha 90.00
_cell_angle_beta 90.00
_cell_angle_gamma 90.00
_space_group_name_H-M_alt 'P 4/m m m'
_space_group_IT_number 123
_space_group_name_Hall '-P 4 2'
loop_
_atom_site_label
_atom_site_fract_x
_atom_site_fract_y
_atom_site_fract_z
Ca1 0.000 0.500 0.000
H1 0.000 0.000 0.500
O1 0.500 0.500 0.000
F1 0.500 0.500 0.500
```



4.
## LiZr2Rh (GGA-PBEsol)

Data for an optimized crystal structure of LiZr2Rh.

Results
VASP energy: -0.5310 Ry/atom
energy of formation from the pure elements: -0.62 eV/f.u.

Cell and atoms, written as CIF:
```
data_LiZr2Rh
_cell_length_a 3.870
_cell_length_b 3.870
_cell_length_c 9.245
_cell_angle_alpha 90.00
_cell_angle_beta 90.00
_cell_angle_gamma 90.00
_space_group_name_H-M_alt 'I -4 m 2'
_space_group_IT_number 119
_space_group_name_Hall 'I -4 -2'
loop_
_atom_site_label
_atom_site_fract_x
_atom_site_fract_y
_atom_site_fract_z
Li1 0.000 0.000 0.000
Zr1 0.000 0.000 0.500
Zr2 0.000 0.500 0.750
Rh1 0.000 0.500 0.250
```



5.
## MnOsSe (GGA-PBEsol)

Data for an optimized crystal structure of MnOsSe.

Results
VASP energy: -0.6080 Ry/atom
energy relative to the elements, uncorrected: 0.34 eV per atom

Cell and atoms, written as CIF:
```
data_MnOsSe
_cell_length_a 5.804
_cell_length_b 5.804
_cell_length_c 5.804
_cell_angle_alpha 90.00
_cell_angle_beta 90.00
_cell_angle_gamma 90.00
_space_group_name_H-M_alt 'F -4 3 m'
_space_group_IT_number 216
_space_group_name_Hall 'F -4 2 3'
loop_
_atom_site_label
_atom_site_fract_x
_atom_site_fract_y
_atom_site_fract_z
Mn1 0.000 0.000 0.000
Os1 0.250 0.250 0.750
Se1 0.000 0.000 0.500
```



6.
## Ru3Rh (GGA-PBEsol)

Data for an optimized crystal structure of Ru3Rh.

Results
VASP energy: -0.7057 Ry/atom
energy of formation from the pure elements: 0.25 eV/f.u.

Cell and atoms, written as CIF:
```
data_Ru3Rh
_cell_length_a 5.3462
_cell_length_b 5.3462
_cell_length_c 8.6249
_cell_angle_alpha 90.00
_cell_angle_beta 90.00
_cell_angle_gamma 120.00
_space_group_name_H-M_alt 'P 63/m m c'
_space_group_IT_number 194
_space_group_name_Hall '-P 6c 2c'
loop_
_atom_site_label
_atom_site_fract_x
_atom_site_fract_y
_atom_site_fract_z
Ru1 0.0000 0.5000 0.0000
Ru2 0.1673 0.3347 0.2500
Rh1 0.0000 0.0000 0.0000
Rh2 0.3333 0.6667 0.7500
```



7.
## YMoOs2 (GGA-PBEsol)

Data for an optimized crystal structure of YMoOs2.

Results
VASP energy: -0.7851 Ry/atom
energy of formation from the pure elements: 0.30 eV/f.u.

Cell and atoms, written as CIF:
```
data_YMoOs2
_cell_length_a 3.056
_cell_length_b 3.056
_cell_length_c 7.252
_cell_angle_alpha 90.00
_cell_angle_beta 90.00
_cell_angle_gamma 90.00
_space_group_name_H-M_alt 'P 4/m m m'
_space_group_IT_number 123
_space_group_name_Hall '-P 4 2'
loop_
_atom_site_label
_atom_site_fract_x
_atom_site_fract_y
_atom_site_fract_z
Y1 0.000 0.000 0.000
Mo1 0.000 0.000 0.500
Os1 0.500 0.500 0.290
```



8.
## CuRhCl3 (GGA-PBEsol)

Data for an optimized crystal structure of CuRhCl3.

Results
VASP energy: -0.2617 Ry/atom
energy relative to the elements, uncorrected: 0.14 eV per atom

Cell and atoms, written as CIF:
```
data_CuRhCl3
_cell_length_a 4.664
_cell_length_b 4.664
_cell_length_c 4.664
_cell_angle_alpha 90.00
_cell_angle_beta 90.00
_cell_angle_gamma 90.00
_space_group_name_H-M_alt 'P m -3 m'
_space_group_IT_number 221
_space_group_name_Hall '-P 4 2 3'
loop_
_atom_site_label
_atom_site_fract_x
_atom_site_fract_y
_atom_site_fract_z
Cu1 0.000 0.000 0.000
Rh1 0.500 0.500 0.500
Cl1 0.000 0.500 0.500
```



9.
## Be2PbS (GGA-PBEsol)

Data for an optimized crystal structure of Be2PbS.

Results
VASP energy: -0.3023 Ry/atom
energy relative to the elements, uncorrected: -0.02 eV per atom

Cell and atoms, written as CIF:
```
data_Be2PbS
_cell_length_a 5.578
_cell_length_b 5.578
_cell_length_c 9.328
_cell_angle_alpha 90.00
_cell_angle_beta 90.00
_cell_angle_gamma 90.00
_space_group_name_H-M_alt 'I -4 2 d'
_space_group_IT_number 122
_space_group_name_Hall 'I -4 2bw'
loop_
_atom_site_label
_atom_site_fract_x
_atom_site_fract_y
_atom_site_fract_z
Be1 0.179 0.250 0.125
Pb1 0.000 0.000 0.500
S1 0.000 0.000 0.000
```



10.
## AsSCl3 (GGA-PBEsol)

Data for an optimized crystal structure of AsSCl3.

Results
VASP energy: -0.2130 Ry/atom
energy relative to the elements, uncorrected: 0.21 eV per atom

Cell and atoms, written as CIF:
```
data_AsSCl3
_cell_length_a 4.911
_cell_length_b 4.911
_cell_length_c 4.911
_cell_angle_alpha 90.00
_cell_angle_beta 90.00
_cell_angle_gamma 90.00
_space_group_name_H-M_alt 'P m -3 m'
_space_group_IT_number 221
_space_group_name_Hall '-P 4 2 3'
loop_
_atom_site_label
_atom_site_fract_x
_atom_site_fract_y
_atom_site_fract_z
As1 0.000 0.000 0.000
S1 0.500 0.500 0.500
Cl1 0.000 0.000 0.500
```



11.
## ZrAl4Si (GGA-PBEsol)

Data for an optimized crystal structure of ZrAl4Si.

Results
VASP energy: -0.3908 Ry/atom
energy relative to the elements, uncorrected: -0.12 eV per atom

Cell and atoms, written as CIF:
```
data_ZrAl4Si
_cell_length_a 4.5531
_cell_length_b 4.5531
_cell_length_c 5.5785
_cell_angle_alpha 90.00
_cell_angle_beta 90.00
_cell_angle_gamma 120.00
_space_group_name_H-M_alt 'P 6/m m m'
_space_group_IT_number 191
_space_group_name_Hall '-P 6 2'
loop_
_atom_site_label
_atom_site_fract_x
_atom_site_fract_y
_atom_site_fract_z
Zr1 0.0000 0.0000 0.0000
Al1 0.3333 0.6667 0.2658
Si1 0.0000 0.0000 0.5000
```



12.
## LaInP2S (GGA-PBEsol)

Data for an optimized crystal structure of LaInP2S.

Results
VASP energy: -0.3681 Ry/atom
energy relative to the elements, uncorrected: -0.15 eV per atom

Cell and atoms, written as CIF:
```
data_LaInP2S
_cell_length_a 4.886
_cell_length_b 4.886
_cell_length_c 5.005
_cell_angle_alpha 90.00
_cell_angle_beta 90.00
_cell_angle_gamma 90.00
_space_group_name_H-M_alt 'P 4/m m m'
_space_group_IT_number 123
_space_group_name_Hall '-P 4 2'
loop_
_atom_site_label
_atom_site_fract_x
_atom_site_fract_y
_atom_site_fract_z
La1 0.000 0.000 0.000
In1 0.500 0.500 0.500
P1 0.000 0.500 0.500
S1 0.500 0.500 0.000
```